# 1
This record from Alexandria describes a geometry-optimized NiHg2Ru structure. The functional is GGA-PBE.

The structure in POSCAR format:
```
NiHg2Ru
1.0
5.4044 0.0154 0.0254
4.6323 2.7838 0.0254
1.6673 0.4650 4.5532
Hg Ru Ni
2 1 1
Direct
0.2319 0.2319 0.3160 Hg
0.0166 0.0166 0.9375 Hg
0.7766 0.7766 0.7858 Ru
0.4749 0.4749 0.4608 Ni
```

## Properties
calculated volume: 17.013 Å³ per atom
total magnetic moment: 0.4 μB/cell
crystal system: monoclinic
calculated total energy: -3.4692 eV per atom
SG: Cm
E above lowest polymorph: 34 kJ/mol of formula units


# 2
This record from Alexandria describes a geometry-optimized Ni2HgRu structure. The functional is GGA-PBE.

The structure in POSCAR format:
```
Ni2HgRu
1.0
8.7553 0.0060 0.0035
8.3118 2.7512 0.0035
8.3118 1.3428 2.4013
Ni Hg Ru
2 1 1
Direct
0.2521 0.2521 0.2521 Ni
0.9914 0.9914 0.9914 Ni
0.7464 0.7464 0.7464 Hg
0.5102 0.5102 0.5102 Ru
```

## Properties
calculated volume: 14.410 Å³ per atom
total magnetic moment: 0.6 μB/cell
crystal system: trigonal
calculated total energy: -4.8671 eV per atom
SG: R3m


# 3
This record from Alexandria describes a geometry-optimized NiHg2Ru structure. The functional is GGA-PBE.

The structure in POSCAR format:
```
NiHg2Ru
1.0
3.9741 0.0000 0.0000
0.0000 3.9741 0.0000
1.9871 1.9871 9.5843
Hg Ru Ni
4 2 2
Direct
0.6214 0.1250 0.2500 Hg
0.8750 0.8714 0.7500 Hg
0.1286 0.6250 0.2500 Hg
0.3750 0.3786 0.7500 Hg
0.7500 0.2500 0.5000 Ru
0.0000 0.0000 0.0000 Ru
0.5000 0.5000 0.0000 Ni
0.2500 0.7500 0.5000 Ni
```

## Properties
calculated volume: 18.921 Å³ per atom
total magnetic moment: 4.4 μB/cell
crystal system: tetragonal
calculated total energy: -3.1061 eV per atom
SG: I-42d
E above lowest polymorph: 174 kJ/mol of formula units


# 4
This record from Alexandria describes a geometry-optimized Ni2HgRu structure. The functional is GGA-PBE.

The structure in POSCAR format:
```
Ni2HgRu
1.0
-2.3115 3.9845 -0.1320
-1.2933 -2.0202 3.9348
2.0662 1.2421 1.3166
Ni Hg Ru
2 1 1
Direct
0.5000 0.5000 0.0000 Ni
0.0000 0.0000 0.0000 Ni
0.0000 0.5000 0.5000 Hg
0.5000 0.0000 0.5000 Ru
```

## Properties
calculated volume: 14.071 Å³ per atom
total magnetic moment: 0.9 μB/cell
crystal system: orthorhombic
calculated total energy: -4.9133 eV per atom
SG: Cmmm